Record 1
SmSnPt2 PBE-GGA optimized geometry; symmetry = Pnma (62)
1.0
7.130 0.000 0.000
0.000 4.588 0.000
0.000 0.000 10.247
Sm Sn Pt
4 4 8
Cartesian
1.639 1.147 1.666 Sm
1.926 3.441 6.789 Sm
5.204 1.147 3.458 Sm
5.491 3.441 8.582 Sm
0.462 3.441 3.741 Sn
3.103 1.147 8.865 Sn
4.027 3.441 1.382 Sn
6.668 1.147 6.506 Sn
0.313 1.147 9.104 Pt
1.607 1.147 4.710 Pt
1.958 3.441 9.834 Pt
3.252 3.441 3.981 Pt
3.878 1.147 6.267 Pt
5.172 1.147 0.414 Pt
5.523 3.441 5.537 Pt
6.817 3.441 1.143 Pt


Record 2
ScPPb PBE-GGA optimized geometry; symmetry = I4mm (107)
1.0
-1.797 1.797 5.703
1.797 -1.797 5.703
1.797 1.797 -5.703
Sc P Pb
1 1 1
Cartesian
0.000 0.000 0.000 Sc
0.000 0.000 6.129 P
0.000 0.000 3.329 Pb


Record 3
La2Ge3Au6 PBE-GGA optimized geometry; symmetry = P-62m (189)
1.0
7.881 0.000 0.000
-3.940 6.825 0.000
0.000 0.000 4.484
La Ge Au
2 3 6
Cartesian
0.000 4.550 0.000 La
3.940 2.275 0.000 La
-2.534 4.389 2.242 Ge
1.407 2.436 2.242 Ge
5.068 0.000 2.242 Ge
-1.262 2.186 2.242 Au
-3.124 5.411 0.000 Au
0.816 1.414 0.000 Au
2.525 0.000 2.242 Au
2.678 4.638 2.242 Au
6.248 0.000 0.000 Au


Formation enthalpy at 0 K values (in meV/atom) by entry order: -939; -649; -536.
D(E_F) values (in states/eV/cell) by entry order: 7.99; 1.11; 4.97.